# LiYLuPt

An optimized crystal structure of LiYLuPt (GGA-PBE, the Alexandria database).

Properties
D(E_F), states/eV/atom: 0.77
Energy of formation from the pure elements, eV/atom: -0.70

Geometry as POSCAR:
```
LiYLuPt
1.0
4.931 0.000 0.000
2.466 4.271 0.000
2.466 1.424 4.026
Y Lu Pt Li
1 1 1 1
Direct
0.500 0.500 0.500 Y
0.000 0.000 0.000 Lu
0.750 0.750 0.750 Pt
0.250 0.250 0.250 Li
```

# Ba2InH2

An optimized crystal structure of Ba2InH2 (GGA-PBE, the Alexandria database).

Properties
D(E_F), states/eV/atom: 0.57
Polymorph energy (0 for the lowest one), meV/atom: 0

Geometry as POSCAR:
```
Ba2InH2
1.0
-1.119 3.598 -2.052
-2.086 1.347 3.499
4.882 5.934 3.257
H Ba In
2 2 1
Direct
0.750 0.250 0.500 H
0.250 0.750 0.500 H
0.348 0.348 0.304 Ba
0.652 0.652 0.696 Ba
0.000 0.000 0.000 In
```

# Ce4Bi5Os

An optimized crystal structure of Ce4Bi5Os (GGA-PBE, the Alexandria database).

Properties
D(E_F), states/eV/atom: 2.42
Energy of formation from the pure elements, eV/atom: -0.35

Geometry as POSCAR:
```
Ce4Bi5Os
1.0
-1.669 3.036 2.790
-6.281 -5.315 2.028
3.484 -6.533 5.647
Ce Bi Os
4 5 1
Direct
0.359 0.950 0.719 Ce
0.042 0.768 0.084 Ce
0.641 0.050 0.281 Ce
0.958 0.232 0.916 Ce
0.857 0.648 0.714 Bi
0.781 0.237 0.563 Bi
0.219 0.763 0.437 Bi
0.500 0.500 0.000 Bi
0.143 0.352 0.286 Bi
0.500 0.000 0.000 Os
```

# La5YCd

An optimized crystal structure of La5YCd (GGA-PBE, the Alexandria database).

Properties
D(E_F), states/eV/atom: 1.44
Energy of formation from the pure elements, eV/atom: 0.05

Geometry as POSCAR:
```
La5YCd
1.0
7.085 -3.080 -2.977
-0.674 7.696 -2.977
-0.730 -0.525 9.976
La Y Cd
10 2 2
Direct
0.830 0.668 0.086 La
0.165 0.584 0.336 La
0.668 0.830 0.586 La
0.847 0.153 0.250 La
0.416 0.835 0.164 La
0.584 0.165 0.836 La
0.153 0.847 0.750 La
0.332 0.170 0.414 La
0.835 0.416 0.664 La
0.170 0.332 0.914 La
0.596 0.404 0.250 Y
0.404 0.596 0.750 Y
0.000 0.000 0.000 Cd
0.000 0.000 0.500 Cd
```

# CsLiAu3

An optimized crystal structure of CsLiAu3 (GGA-PBE, the Alexandria database).

Properties
D(E_F), states/eV/atom: 0.29
Polymorph energy (0 for the lowest one), meV/atom: 0
Energy of formation from the pure elements, eV/atom: 0.00

Geometry as POSCAR:
```
CsLiAu3
1.0
5.101 0.000 0.000
0.000 5.101 0.000
0.000 0.000 5.101
Cs Li Au
1 1 3
Direct
0.500 0.500 0.500 Cs
0.000 0.000 0.000 Li
0.000 0.500 0.000 Au
0.000 0.000 0.500 Au
0.500 0.000 0.000 Au
```

# Na2ScZnRh

An optimized crystal structure of Na2ScZnRh (GGA-PBE, the Alexandria database).

Properties
D(E_F), states/eV/atom: 0.74
Energy of formation from the pure elements, eV/atom: 0.67

Geometry as POSCAR:
```
Na2ScZnRh
1.0
6.056 0.000 0.000
0.000 4.543 0.000
0.000 0.000 6.056
Sc Na Zn Rh
1 2 1 1
Direct
0.000 0.000 0.000 Sc
0.000 0.000 0.500 Na
0.500 0.000 0.000 Na
0.500 0.500 0.500 Zn
0.000 0.500 0.000 Rh
```

# Hf2Zn2Cr

An optimized crystal structure of Hf2Zn2Cr (GGA-PBE, the Alexandria database).

Properties
D(E_F), states/eV/atom: 0.85
Energy of formation from the pure elements, eV/atom: 0.04

Geometry as POSCAR:
```
Hf2Zn2Cr
1.0
6.838 0.000 0.000
0.000 6.838 0.000
0.000 0.000 3.811
Cr Zn Hf
2 4 4
Direct
0.000 0.000 0.000 Cr
0.500 0.500 0.000 Cr
0.372 0.872 0.000 Zn
0.872 0.628 0.000 Zn
0.628 0.128 0.000 Zn
0.128 0.372 0.000 Zn
0.175 0.675 0.500 Hf
0.675 0.825 0.500 Hf
0.825 0.325 0.500 Hf
0.325 0.175 0.500 Hf
```

# Ho4Al3Au

An optimized crystal structure of Ho4Al3Au (GGA-PBE, the Alexandria database).

Properties
D(E_F), states/eV/atom: 0.93
Energy of formation from the pure elements, eV/atom: -0.50

Geometry as POSCAR:
```
Ho4Al3Au
1.0
3.754 0.000 0.000
0.000 4.484 0.000
0.000 0.000 11.438
Ho Al Au
4 3 1
Direct
0.500 0.500 0.343 Ho
0.000 0.500 0.854 Ho
0.000 0.000 0.147 Ho
0.500 0.000 0.655 Ho
0.000 0.500 0.568 Al
0.000 0.000 0.430 Al
0.500 0.000 0.928 Al
0.500 0.500 0.074 Au
```